No. 1
Computed, not measured: a relaxed structure of ScBeInCu at the PBE level of DFT.

a = 4.5240 Å, b = 4.5240 Å, c = 4.5240 Å
α = 60.00°, β = 60.00°, γ = 60.00°
Element x y z (fractional)
Be  0.5000  0.5000  0.5000
Cu  0.7500  0.7500  0.7500
In  0.2500  0.2500  0.2500
Sc  0.0000  0.0000  0.0000

Properties
Magnetic moment in μB/f.u.: 0.00
Energy relative to the lowest polymorph listed for this composition in kJ/mol of atoms: 14.1

---

No. 2
Computed, not measured: a relaxed structure of LaErIn2Pd4 at the PBE level of DFT.

a = 4.6402 Å, b = 4.6402 Å, c = 9.0835 Å
α = 90.00°, β = 90.00°, γ = 120.00°
Element x y z (fractional)
Er  0.3333  0.6667  0.0000
In  0.6667  0.3333  0.2365
In  0.6667  0.3333  0.7635
La  0.0000  0.0000  0.5000
Pd  0.0000  0.0000  0.1587
Pd  0.3333  0.6667  0.3242
Pd  0.3333  0.6667  0.6758
Pd  0.0000  0.0000  0.8413

Properties
Magnetic moment in μB/f.u.: 0.01
E in eV per atom: -5.27

---

No. 3
Computed, not measured: a relaxed structure of Li2MgCoH6 at the PBE level of DFT.

a = 4.8202 Å, b = 4.8202 Å, c = 4.8202 Å
α = 60.00°, β = 60.00°, γ = 60.00°
Element x y z (fractional)
Co  0.0000  0.0000  0.0000
H  0.7720  0.2280  0.2280
H  0.2280  0.7720  0.2280
H  0.7720  0.7720  0.2280
H  0.7720  0.2280  0.7720
H  0.2280  0.7720  0.7720
H  0.2280  0.2280  0.7720
Li  0.2500  0.2500  0.2500
Li  0.7500  0.7500  0.7500
Mg  0.5000  0.5000  0.5000

Properties
Magnetic moment in μB/f.u.: 0.00
E in eV per atom: -3.45